A relaxed structure of KCa9CoP7O28. Source: Alexandria via LeMat-Bulk, functional GGA+U.

```
92
Lattice="-9.0487 0.3214 -5.3405 -5.9962 -8.6055 -0.7041 -11.0144 0.5709 8.3509" Properties=species:S:1:pos:R:3 pbc="T T T"
O -13.5452 -7.2364 1.6186
P -9.9440 -2.3656 -3.5081
Ca -9.5851 -0.0525 1.6572
P -15.5686 -1.7369 0.4891
O -20.9109 -5.6084 1.1511
P -6.8654 -1.7336 1.1823
O -15.1763 -6.9569 -0.9712
O -6.0896 -5.0844 -1.4449
O -11.3483 -5.0495 0.9677
Ca -21.4487 -7.3193 4.5815
O -14.1454 -4.9746 2.6798
Ca -19.2314 -2.1498 1.5337
P -13.1290 -6.3226 -4.0794
O -13.7839 -0.7079 5.2805
O -12.5789 -2.8193 6.2075
O -10.0285 -2.4526 2.1162
P -17.3009 -0.8363 3.8563
O -14.7026 -4.7419 6.0455
O -15.4533 -4.7343 -2.2952
O -16.1536 -6.8167 6.2092
O -11.4219 -2.7899 -3.3297
O -7.6147 -1.3174 2.4769
Ca -12.2991 -6.8951 -0.3833
O -12.5681 -0.4983 -1.5379
O -15.9254 -0.2185 3.4346
Ca -6.9710 -5.4853 0.7520
O -17.0522 -2.1446 0.6588
O -11.1064 -0.8020 3.6685
Co -13.0708 -3.8337 1.2242
P -19.8951 -5.5902 2.3355
Ca -9.7853 -3.4362 -0.0403
O -9.0427 -2.7739 -2.3089
Ca -13.6691 -0.7483 2.8072
Ca -22.4513 -3.6744 2.8296
P -14.3424 -6.5288 2.7392
O -12.4044 -2.8574 3.0068
O -12.5839 -6.8023 -2.7124
O -15.8470 -6.8516 2.5184
O -10.2462 -1.0068 -0.4797
P -15.1917 -5.4102 -0.9073
O -6.5561 -0.9128 -3.0559
O -2.9366 -1.9884 -0.6153
O -20.3997 -2.4939 3.5815
O -20.6444 -5.1740 3.6300
O -15.3278 -0.2136 0.6851
O -7.4155 -3.1136 0.7052
P -10.9729 -2.3071 3.3323
Ca -13.4602 -3.2071 -2.2409
Ca -12.6743 -4.6267 4.6297
O -15.1258 -2.0971 -0.9483
O -13.7579 -4.9137 -0.4706
P -10.5152 -5.9408 1.9699
O -11.7253 -0.5370 6.7536
Ca -8.1722 -3.4714 3.5740
O -14.7279 -2.5222 1.5543
O -10.3685 -3.1414 4.4965
O -13.8085 -7.0246 4.1049
O -7.1126 -0.6488 0.0882
O -10.5795 -7.3894 1.3792
O -13.3362 -4.7834 -4.1479
O -10.1652 -7.6476 -1.3919
O -12.1212 -2.6405 -0.2541
O -16.2941 -4.8863 0.0400
P -13.0503 -1.3517 6.4821
O -18.3477 -0.2516 2.8290
O -9.0768 -5.3741 2.0502
P -16.1573 -5.2608 5.9404
K -5.3569 -2.5714 -1.4241
O -16.7739 -5.0943 4.5109
P -8.8117 -6.8829 -1.4006
O -9.9052 -0.8058 -3.6608
O -12.1514 -0.3700 0.9859
O -8.9622 -5.3772 -1.0744
O -18.7619 -4.5545 2.0561
O -14.5071 -7.0290 -4.3238
Ca -5.9649 0.0594 3.7166
O -7.8662 -7.5176 -0.3231
Ca -18.9113 -4.0406 4.9962
K -18.3866 -6.4280 -0.2709
Ca -17.5082 -7.4813 4.2449
Ca -3.2525 -0.6419 1.3472
Ca -8.4711 -0.1297 -1.8378
O -11.1810 -6.0150 3.3621
O -23.1186 -6.1326 3.1776
Ca -16.3954 -4.1676 2.3285
P -11.8024 -1.0961 -0.3325
O -17.3338 -2.3813 3.7638
O -5.3410 -1.8421 1.4972
Co -15.0861 -8.2612 -5.9736
O -19.2854 -7.0114 2.5429
O -19.2253 -6.4454 5.5314
Ca -22.8492 -7.1930 1.0610
```

Output
Total energy   -0.5236 Ry per atom
Crystal system   trigonal
Calculated density   3.136 g/cm³
Fermi-level density of states   14.51 states/eV per cell
V   1189.7 Å³ per cell
SG   R3c, No. 161